[1]
Compound: Mg2In3MoS8
Source: the Alexandria database
Functional: PBE
Structure: relaxed

a = 7.6410 Å, b = 7.6410 Å, c = 7.6410 Å
α = 59.84°, β = 59.84°, γ = 59.84°
Positions (direct):
Mg: 0.1258 0.1258 0.1258
Mg: 0.8742 0.8742 0.8742
In: 0.0000 0.5000 0.5000
In: 0.5000 0.0000 0.5000
In: 0.5000 0.5000 0.0000
Mo: 0.5000 0.5000 0.5000
S: 0.2571 0.2571 0.2571
S: 0.2663 0.2663 0.7244
S: 0.2663 0.7244 0.2663
S: 0.2756 0.7337 0.7337
S: 0.7244 0.2663 0.2663
S: 0.7337 0.2756 0.7337
S: 0.7337 0.7337 0.2756
S: 0.7429 0.7429 0.7429

Results
formation energy from raw total energies	-0.764	eV per atom



[2]
Compound: Mg2ScInMo
Source: the Alexandria database
Functional: PBE
Structure: relaxed

a = 5.1216 Å, b = 5.1216 Å, c = 5.4425 Å
α = 90.00°, β = 90.00°, γ = 90.00°
Positions (direct):
Mg: 0.0000 0.5000 0.0000
Mg: 0.5000 0.0000 0.0000
Sc: 0.0000 0.0000 0.5000
In: 0.0000 0.0000 0.0000
Mo: 0.5000 0.5000 0.5000

Results
E_form	1.11	eV per atom



[3]
Compound: MgInTcMo
Source: the Alexandria database
Functional: PBE
Structure: relaxed

a = 6.4492 Å, b = 6.4492 Å, c = 6.4492 Å
α = 90.00°, β = 90.00°, γ = 90.00°
Positions (direct):
Mg: 0.0000 0.0000 0.0000
Mg: 0.0000 0.5000 0.5000
Mg: 0.5000 0.0000 0.5000
Mg: 0.5000 0.5000 0.0000
In: 0.2500 0.2500 0.2500
In: 0.2500 0.7500 0.7500
In: 0.7500 0.2500 0.7500
In: 0.7500 0.7500 0.2500
Tc: 0.0000 0.0000 0.5000
Tc: 0.0000 0.5000 0.0000
Tc: 0.5000 0.0000 0.0000
Tc: 0.5000 0.5000 0.5000
Mo: 0.2500 0.2500 0.7500
Mo: 0.2500 0.7500 0.2500
Mo: 0.7500 0.2500 0.2500
Mo: 0.7500 0.7500 0.7500

Results
E_form	0.14	eV per atom



[4]
Compound: MgZnInMo2
Source: the Alexandria database
Functional: PBE
Structure: relaxed

a = 5.1514 Å, b = 5.1514 Å, c = 5.0027 Å
α = 90.00°, β = 90.00°, γ = 90.00°
Positions (direct):
Mg: 0.0000 0.0000 0.0000
Zn: 0.5000 0.5000 0.0000
In: 0.0000 0.0000 0.5000
Mo: 0.0000 0.5000 0.5000
Mo: 0.5000 0.0000 0.5000

Results
E_form	1.80	eV per atom